one | VASP calculation (PBE) on a relaxed structure of Cs2TlAg2.

abc: 8.3278 8.3278 5.6793
angles: 90.00 90.00 90.00
Atoms (fractional coordinates):
1 Cs 0.1762 0.6762 0.5000
2 Cs 0.6762 0.8238 0.5000
3 Cs 0.8238 0.3238 0.5000
4 Cs 0.3238 0.1762 0.5000
5 Tl 0.0000 0.0000 0.0000
6 Tl 0.5000 0.5000 0.0000
7 Ag 0.3769 0.8769 0.0000
8 Ag 0.8769 0.6231 0.0000
9 Ag 0.6231 0.1231 0.0000
10 Ag 0.1231 0.3769 0.0000


two | VASP calculation (PBE) on a relaxed structure of Cs2TlAg2.

abc: 7.3926 7.0708 9.1204
angles: 101.23 90.00 121.52
Atoms (fractional coordinates):
1 Cs 0.5069 0.2875 0.1311
2 Cs 0.2194 0.7125 0.3689
3 Cs 0.4931 0.7125 0.8689
4 Cs 0.7806 0.2875 0.6311
5 Tl 0.9053 0.0000 0.2500
6 Tl 0.0947 0.0000 0.7500
7 Ag 0.7138 0.7137 0.4995
8 Ag 0.0000 0.2863 0.0005
9 Ag 0.2862 0.2863 0.5005
10 Ag 0.0000 0.7137 0.9995


three | VASP calculation (PBE) on a relaxed structure of Cs2TlAg2.

abc: 10.4957 10.4957 3.9400
angles: 90.00 90.00 90.00
Atoms (fractional coordinates):
1 Cs 0.3605 0.8605 0.0000
2 Cs 0.8605 0.6395 0.0000
3 Cs 0.6395 0.1395 0.0000
4 Cs 0.1395 0.3605 0.0000
5 Tl 0.0000 0.0000 0.0000
6 Tl 0.5000 0.5000 0.0000
7 Ag 0.1621 0.6621 0.5000
8 Ag 0.6621 0.8379 0.5000
9 Ag 0.8379 0.3379 0.5000
10 Ag 0.3379 0.1621 0.5000


Preferred: two; penalty for the next structure: 0.063 eV/atom.


one | VASP calculation (PBE) on a relaxed structure of Cs2Tl2Ag.

abc: 5.2961 6.4470 7.6273
angles: 115.00 110.32 90.00
Atoms (fractional coordinates):
1 Cs 0.1879 0.6878 0.3759
2 Cs 0.8121 0.3122 0.6241
3 Tl 0.5000 0.7636 0.0001
4 Tl 0.5000 0.2364 0.9999
5 Ag 0.0000 0.0000 0.0000


two | VASP calculation (PBE) on a relaxed structure of Cs2Tl2Ag.

abc: 11.6349 11.6349 3.6605
angles: 90.00 90.00 90.00
Atoms (fractional coordinates):
1 Cs 0.2960 0.7960 0.0000
2 Cs 0.7960 0.7040 0.0000
3 Cs 0.7040 0.2040 0.0000
4 Cs 0.2040 0.2960 0.0000
5 Tl 0.0908 0.5908 0.5000
6 Tl 0.5908 0.9092 0.5000
7 Tl 0.9092 0.4092 0.5000
8 Tl 0.4092 0.0908 0.5000
9 Ag 0.0000 0.0000 0.0000
10 Ag 0.5000 0.5000 0.0000


three | VASP calculation (PBE) on a relaxed structure of Cs2Tl2Ag.

abc: 8.0395 8.0395 6.4665
angles: 90.00 90.00 90.00
Atoms (fractional coordinates):
1 Cs 0.1862 0.6862 0.5000
2 Cs 0.6862 0.8138 0.5000
3 Cs 0.8138 0.3138 0.5000
4 Cs 0.3138 0.1862 0.5000
5 Tl 0.3652 0.8652 0.0000
6 Tl 0.8652 0.6348 0.0000
7 Tl 0.6348 0.1348 0.0000
8 Tl 0.1348 0.3652 0.0000
9 Ag 0.0000 0.0000 0.0000
10 Ag 0.5000 0.5000 0.0000


four | VASP calculation (PBE) on a relaxed structure of Cs2Tl2Ag.

abc: 8.6573 7.7384 10.0673
angles: 71.80 56.05 55.99
Atoms (fractional coordinates):
1 Cs 0.6373 0.3394 0.7566
2 Cs 0.3627 0.6606 0.2434
3 Cs 0.9767 0.6606 0.7566
4 Cs 0.0233 0.3394 0.2434
5 Tl 0.7103 0.0000 0.4542
6 Tl 0.6355 0.0000 0.1789
7 Tl 0.3645 0.0000 0.8211
8 Tl 0.2897 0.0000 0.5458
9 Ag 0.1084 0.7832 0.0000
10 Ag 0.8916 0.2168 0.0000


Preferred: one; penalty for the next structure: 0.039 eV/atom.


one | VASP calculation (PBE) on a relaxed structure of CsTlAg.

abc: 5.8680 4.9513 8.3091
angles: 90.00 90.00 90.00
Atoms (fractional coordinates):
1 Cs 0.0000 0.0000 0.4947
2 Cs 0.5000 0.5000 0.7981
3 Tl 0.5000 0.5000 0.2919
4 Tl 0.0000 0.5000 0.0893
5 Ag 0.7408 0.0000 0.1009
6 Ag 0.2592 0.0000 0.1009


two | VASP calculation (PBE) on a relaxed structure of CsTlAg.

abc: 6.7820 4.8193 13.8112
angles: 90.00 92.22 90.00
Atoms (fractional coordinates):
1 Cs 0.8463 0.0000 0.6334
2 Cs 0.8463 0.5000 0.1334
3 Cs 0.3448 0.0000 0.2103
4 Cs 0.3448 0.5000 0.7103
5 Tl 0.8701 0.0000 0.3627
6 Tl 0.8701 0.5000 0.8627
7 Tl 0.5670 0.0000 0.9290
8 Tl 0.5670 0.5000 0.4290
9 Ag 0.3171 0.0000 0.4736
10 Ag 0.3171 0.5000 0.9736
11 Ag 0.0987 0.0000 0.9353
12 Ag 0.0987 0.5000 0.4353


Preferred: one; penalty for the next structure: 0.018 eV/atom.


one | VASP calculation (PBE) on a relaxed structure of CsTlAg.

abc: 7.4389 5.0418 14.5427
angles: 90.00 117.30 90.00
Atoms (fractional coordinates):
1 Cs 0.5691 0.0000 0.2869
2 Cs 0.5691 0.5000 0.7869
3 Cs 0.9637 0.0000 0.0700
4 Cs 0.9637 0.5000 0.5700
5 Tl 0.5185 0.0000 0.5739
6 Tl 0.5185 0.5000 0.0739
7 Tl 0.3449 0.0000 0.9294
8 Tl 0.3449 0.5000 0.4294
9 Ag 0.1151 0.0000 0.3667
10 Ag 0.1151 0.5000 0.8667
11 Ag 0.9284 0.0000 0.7635
12 Ag 0.9284 0.5000 0.2635


two | VASP calculation (PBE) on a relaxed structure of CsTlAg.

abc: 6.0922 7.3810 10.7026
angles: 90.00 90.00 90.00
Atoms (fractional coordinates):
1 Cs 0.0000 0.5000 0.6333
2 Cs 0.5000 0.0000 0.1333
3 Cs 0.0000 0.0000 0.8668
4 Cs 0.5000 0.5000 0.3668
5 Tl 0.0000 0.0000 0.4893
6 Tl 0.5000 0.5000 0.9893
7 Tl 0.0000 0.5000 0.0902
8 Tl 0.5000 0.0000 0.5902
9 Ag 0.0000 0.8032 0.2572
10 Ag 0.0000 0.1968 0.2572
11 Ag 0.5000 0.3032 0.7572
12 Ag 0.5000 0.6968 0.7572


Preferred: two; penalty for the next structure: 0.010 eV/atom.


one | VASP calculation (PBE) on a relaxed structure of CsTlAg.

abc: 8.8987 4.9412 13.6253
angles: 90.00 128.78 90.00
Atoms (fractional coordinates):
1 Cs 0.1452 0.0000 0.4207
2 Cs 0.8548 0.0000 0.5793
3 Cs 0.1452 0.5000 0.9207
4 Cs 0.8548 0.5000 0.0793
5 Tl 0.6699 0.0000 0.7826
6 Tl 0.3301 0.0000 0.2174
7 Tl 0.6699 0.5000 0.2826
8 Tl 0.3301 0.5000 0.7174
9 Ag 0.4469 0.0000 0.8783
10 Ag 0.5531 0.0000 0.1217
11 Ag 0.4469 0.5000 0.3783
12 Ag 0.5531 0.5000 0.6217


two | VASP calculation (PBE) on a relaxed structure of CsTlAg.

abc: 4.4401 7.5232 8.3796
angles: 116.61 105.36 90.00
Atoms (fractional coordinates):
1 Cs 0.0413 0.9137 0.7118
2 Cs 0.4032 0.2759 0.4355
3 Tl 0.7220 0.3714 0.0731
4 Tl 0.7225 0.8182 0.0742
5 Ag 0.1239 0.4963 0.8769
6 Ag 0.3206 0.6933 0.2704


Preferred: one; penalty for the next structure: 0.041 eV/atom.


one | VASP calculation (PBE) on a relaxed structure of CsTlAg.

abc: 4.6317 5.7070 9.7022
angles: 107.17 103.90 89.92
Atoms (fractional coordinates):
1 Tl 0.8948 0.1158 0.2975
2 Tl 0.8177 0.5349 0.1358
3 Cs 0.4978 0.7168 0.5001
4 Cs 0.2145 0.9341 0.9330
5 Ag 0.0609 0.2796 0.6257
6 Ag 0.6521 0.3713 0.8077


two | VASP calculation (PBE) on a relaxed structure of CsTlAg.

abc: 5.0313 6.8806 8.3120
angles: 65.68 72.40 89.97
Atoms (fractional coordinates):
1 Cs 0.0980 0.4524 0.0783
2 Cs 0.3213 0.1756 0.6304
3 Tl 0.6142 0.9687 0.0451
4 Tl 0.8051 0.6595 0.6634
5 Ag 0.0095 0.8646 0.2543
6 Ag 0.4098 0.7635 0.4542


three | VASP calculation (PBE) on a relaxed structure of CsTlAg.

abc: 4.6099 6.1162 8.7556
angles: 89.03 75.17 90.04
Atoms (fractional coordinates):
1 Cs 0.1561 0.0155 0.4607
2 Cs 0.9822 0.5022 0.7860
3 Tl 0.2984 0.5058 0.1631
4 Tl 0.3987 0.0335 0.9581
5 Ag 0.6934 0.5236 0.3790
6 Ag 0.8156 0.8541 0.1290


four | VASP calculation (PBE) on a relaxed structure of CsTlAg.

abc: 5.7242 5.0311 5.0311
angles: 120.00 90.00 90.00
Atoms (fractional coordinates):
1 Cs 0.6664 0.6667 0.3333
2 Tl 0.1659 0.0000 0.0000
3 Ag 0.1677 0.3333 0.6667


Preferred: two; penalty for the next structure: 0.025 eV/atom.


one | VASP calculation (PBE) on a relaxed structure of CsTlAg.

abc: 5.3876 5.1884 8.5616
angles: 90.00 90.00 90.00
Atoms (fractional coordinates):
1 Cs 0.0000 0.5000 0.4822
2 Cs 0.5000 0.0000 0.8136
3 Tl 0.5000 0.5000 0.1553
4 Tl 0.0000 0.5000 0.9692
5 Ag 0.5000 0.0000 0.3018
6 Ag 0.0000 0.0000 0.1538


two | VASP calculation (PBE) on a relaxed structure of CsTlAg.

abc: 6.1097 8.6889 10.3379
angles: 90.00 121.76 90.00
Atoms (fractional coordinates):
1 Cs 0.9308 0.2477 0.1782
2 Cs 0.0692 0.2477 0.8218
3 Cs 0.9308 0.7477 0.6782
4 Cs 0.0692 0.7477 0.3218
5 Tl 0.6578 0.0947 0.4072
6 Tl 0.3422 0.0947 0.5928
7 Tl 0.6578 0.5947 0.9072
8 Tl 0.3422 0.5947 0.0928
9 Ag 0.4316 0.9294 0.1146
10 Ag 0.5684 0.9294 0.8854
11 Ag 0.4316 0.4294 0.6146
12 Ag 0.5684 0.4294 0.3854


three | VASP calculation (PBE) on a relaxed structure of CsTlAg.

abc: 4.8773 5.5792 8.8210
angles: 84.56 90.03 90.01
Atoms (fractional coordinates):
1 Cs 0.2495 0.2323 0.1624
2 Cs 0.7505 0.7677 0.8376
3 Tl 0.7497 0.6657 0.3617
4 Tl 0.2503 0.3343 0.6383
5 Ag 0.7501 0.1512 0.4908
6 Ag 0.2499 0.8488 0.5092


Preferred: three; penalty for the next structure: 0.035 eV/atom.


one | VASP calculation (PBE) on a relaxed structure of CsTlAg.

abc: 5.3015 13.6118 5.9906
angles: 90.00 90.00 90.00
Atoms (fractional coordinates):
1 Cs 0.0000 0.0000 0.7560
2 Cs 0.0000 0.5000 0.2560
3 Cs 0.5000 0.0000 0.2547
4 Cs 0.5000 0.5000 0.7547
5 Tl 0.0000 0.6996 0.7580
6 Tl 0.0000 0.3004 0.7580
7 Tl 0.0000 0.1996 0.2580
8 Tl 0.0000 0.8004 0.2580
9 Ag 0.5000 0.7506 0.5086
10 Ag 0.5000 0.2494 0.5086
11 Ag 0.5000 0.2506 0.0086
12 Ag 0.5000 0.7494 0.0086


two | VASP calculation (PBE) on a relaxed structure of CsTlAg.

abc: 4.0710 4.0710 7.2553
angles: 106.29 106.29 90.00
Atoms (fractional coordinates):
1 Cs 0.0003 0.0003 0.0006
2 Tl 0.2862 0.2862 0.5724
3 Ag 0.7135 0.7135 0.4270


Preferred: one; penalty for the next structure: 0.023 eV/atom.


one | VASP calculation (PBE) on a relaxed structure of Cs2TlAg.

abc: 10.0815 10.0815 10.0815
angles: 94.21 94.21 148.54
Atoms (fractional coordinates):
1 Cs 0.6250 0.2922 0.1672
2 Cs 0.1250 0.4578 0.8328
3 Cs 0.7078 0.8750 0.3328
4 Cs 0.5422 0.3750 0.6672
5 Tl 0.0000 0.0000 0.0000
6 Tl 0.2500 0.7500 0.5000
7 Ag 0.5000 0.5000 0.0000
8 Ag 0.7500 0.2500 0.5000


two | VASP calculation (PBE) on a relaxed structure of Cs2TlAg.

abc: 5.2509 5.6063 7.4678
angles: 112.05 90.00 90.00
Atoms (fractional coordinates):
1 Cs 0.0000 0.9750 0.9501
2 Cs 0.5000 0.2718 0.5436
3 Tl 0.0000 0.6734 0.3468
4 Ag 0.5000 0.5790 0.1580


Preferred: two; penalty for the next structure: 0.082 eV/atom.